[1]
# NdTlCdTe3 GGA-PBE optimized geometry
data_NdTlCdTe3
_chemical_formula_sum 'Nd4 Tl4 Cd4 Te12'
_space_group_name_H-M_alt 'P n m a'
_space_group_IT_number 62
_space_group_name_Hall '-P 2ac 2n'
_cell_length_a 11.954
_cell_length_b 4.544
_cell_length_c 15.487
_cell_angle_alpha 90.00
_cell_angle_beta 90.00
_cell_angle_gamma 90.00
loop_
_atom_site_label
_atom_site_type_symbol
_atom_site_fract_x
_atom_site_fract_y
_atom_site_fract_z
Nd1 Nd 0.013 0.250 0.246
Tl1 Tl 0.230 0.750 0.510
Cd1 Cd 0.240 0.250 0.717
Te1 Te 0.043 0.250 0.614
Te2 Te 0.071 0.750 0.108
Te3 Te 0.239 0.750 0.833
# Total DFT energy (no corrections) (eV per atom): -3.746
# Size of the total moment (μB/f.u.): 0.00

=====

[2]
# NdThCd GGA-PBE optimized geometry
data_NdThCd
_chemical_formula_sum 'Nd4 Th4 Cd4'
_space_group_name_H-M_alt 'F -4 3 m'
_space_group_IT_number 216
_space_group_name_Hall 'F -4 2 3'
_cell_length_a 7.375
_cell_length_b 7.375
_cell_length_c 7.375
_cell_angle_alpha 90.00
_cell_angle_beta 90.00
_cell_angle_gamma 90.00
loop_
_atom_site_label
_atom_site_type_symbol
_atom_site_fract_x
_atom_site_fract_y
_atom_site_fract_z
Nd1 Nd 0.000 0.000 0.000
Th1 Th 0.250 0.250 0.750
Cd1 Cd 0.000 0.000 0.500
# Total DFT energy (no corrections) (eV per atom): -3.704
# Energy of formation from the pure elements (eV per atom): 0.65
# Size of the total moment (μB/f.u.): 0.88

=====

[3]
# Nd2TmTl2Cd4 GGA-PBE optimized geometry
data_Nd2TmTl2Cd4
_chemical_formula_sum 'Nd4 Tm2 Tl4 Cd8'
_space_group_name_H-M_alt 'A m m 2'
_space_group_IT_number 38
_space_group_name_Hall 'A 2 -2'
_cell_length_a 4.639
_cell_length_b 13.086
_cell_length_c 7.722
_cell_angle_alpha 90.00
_cell_angle_beta 90.00
_cell_angle_gamma 90.00
loop_
_atom_site_label
_atom_site_type_symbol
_atom_site_fract_x
_atom_site_fract_y
_atom_site_fract_z
Nd1 Nd 0.000 0.212 0.000
Tm1 Tm 0.000 0.000 0.637
Tl1 Tl 0.500 0.162 0.712
Cd1 Cd 0.000 0.000 0.225
Cd2 Cd 0.500 0.000 0.979
Cd3 Cd 0.500 0.120 0.334
# Total DFT energy (no corrections) (eV per atom): -2.825
# Size of the total moment (μB/f.u.): 0.02